First-principles (GGA-PBE) data for a geometry-optimized TcPtRh structure, as listed in Alexandria via LeMat-Bulk.

Output
energy of formation = 0.055 eV per atom
mass density = 14.3 g/cm³
energy above the lowest structure with this stoichiometry = 230 meV per atom
electronic total energy = -7.8643 eV per atom

Geometry as POSCAR:
```
TcPtRh
1.0
13.964 0.000 0.000
0.000 2.697 0.000
-0.947 0.000 4.867
Tc Pt Rh
4 4 4
Direct
0.141 0.000 0.085 Tc
0.359 0.500 0.915 Tc
0.641 0.500 0.085 Tc
0.859 0.000 0.915 Tc
0.181 0.500 0.622 Pt
0.319 0.000 0.378 Pt
0.681 0.000 0.622 Pt
0.819 0.500 0.378 Pt
0.001 0.500 0.254 Rh
0.499 0.000 0.746 Rh
0.501 0.000 0.254 Rh
0.999 0.500 0.746 Rh
```

=====

First-principles (GGA-PBE) data for a geometry-optimized TcPt7Rh4 structure, as listed in Alexandria via LeMat-Bulk.

Output
energy of formation = -0.057 eV per atom
mass density = 17.2 g/cm³
energy above the lowest structure with this stoichiometry = 0 meV per atom
electronic total energy = -6.8952 eV per atom

Geometry as POSCAR:
```
TcPt7Rh4
1.0
5.549 0.000 0.000
-2.762 5.535 0.000
-1.376 -1.379 5.877
Tc Pt Rh
1 7 4
Direct
0.000 0.000 0.000 Tc
0.000 0.331 0.332 Pt
0.000 0.669 0.668 Pt
0.243 0.491 0.000 Pt
0.252 0.168 0.670 Pt
0.500 0.000 0.000 Pt
0.748 0.832 0.330 Pt
0.757 0.509 0.000 Pt
0.252 0.840 0.333 Rh
0.493 0.330 0.331 Rh
0.507 0.670 0.669 Rh
0.748 0.160 0.667 Rh
```

=====

First-principles (GGA-PBE) data for a geometry-optimized TcPtRh structure, as listed in Alexandria via LeMat-Bulk.

Output
energy of formation = 0.045 eV per atom
mass density = 14.7 g/cm³
energy above the lowest structure with this stoichiometry = 219 meV per atom
electronic total energy = -7.8746 eV per atom

Geometry as POSCAR:
```
TcPtRh
1.0
4.397 0.000 0.000
-2.199 3.808 0.000
0.000 0.000 2.674
Tc Pt Rh
1 1 1
Direct
0.000 0.000 0.000 Tc
0.667 0.333 0.500 Pt
0.333 0.667 0.500 Rh
```

=====

First-principles (GGA-PBE) data for a geometry-optimized TcPt2Rh structure, as listed in Alexandria via LeMat-Bulk.

Output
energy of formation = -0.073 eV per atom
mass density = 16.4 g/cm³
energy above the lowest structure with this stoichiometry = 96 meV per atom
electronic total energy = -7.5228 eV per atom

Geometry as POSCAR:
```
TcPt2Rh
1.0
9.184 0.000 0.000
0.000 2.761 0.000
-0.825 0.000 4.707
Tc Pt Rh
2 4 2
Direct
0.000 0.000 0.000 Tc
0.500 0.500 0.000 Tc
0.248 0.500 0.245 Pt
0.252 0.000 0.755 Pt
0.748 0.000 0.245 Pt
0.752 0.500 0.755 Pt
0.000 0.500 0.500 Rh
0.500 0.000 0.500 Rh
```

=====

First-principles (GGA-PBE) data for a geometry-optimized TcPtRh2 structure, as listed in Alexandria via LeMat-Bulk.

Output
energy of formation = 0.415 eV per atom
mass density = 12.7 g/cm³
energy above the lowest structure with this stoichiometry = 559 meV per atom
electronic total energy = -7.3629 eV per atom

Geometry as POSCAR:
```
TcPtRh2
1.0
6.943 0.000 0.000
0.000 6.943 0.000
0.000 0.000 5.408
Tc Pt Rh
4 4 8
Direct
0.000 0.000 0.000 Tc
0.000 0.500 0.250 Tc
0.500 0.000 0.750 Tc
0.500 0.500 0.500 Tc
0.000 0.000 0.500 Pt
0.000 0.500 0.750 Pt
0.500 0.000 0.250 Pt
0.500 0.500 0.000 Pt
0.218 0.250 0.125 Rh
0.250 0.718 0.375 Rh
0.250 0.782 0.875 Rh
0.282 0.250 0.625 Rh
0.718 0.750 0.625 Rh
0.750 0.218 0.875 Rh
0.750 0.282 0.375 Rh
0.782 0.750 0.125 Rh
```

=====

First-principles (GGA-PBE) data for a geometry-optimized TcPt7Rh4 structure, as listed in Alexandria via LeMat-Bulk.

Output
energy of formation = 0.383 eV per atom
mass density = 15.5 g/cm³
energy above the lowest structure with this stoichiometry = 440 meV per atom
electronic total energy = -6.4549 eV per atom

Geometry as POSCAR:
```
TcPt7Rh4
1.0
5.293 -2.354 0.000
5.293 2.354 0.000
-4.844 0.000 8.085
Tc Pt Rh
1 7 4
Direct
0.000 0.000 0.000 Tc
0.076 0.076 0.331 Pt
0.207 0.207 0.920 Pt
0.363 0.363 0.463 Pt
0.500 0.500 0.000 Pt
0.637 0.637 0.537 Pt
0.793 0.793 0.080 Pt
0.924 0.924 0.669 Pt
0.275 0.275 0.680 Rh
0.425 0.425 0.229 Rh
0.575 0.575 0.771 Rh
0.725 0.725 0.320 Rh
```

=====

First-principles (GGA-PBE) data for a geometry-optimized Tc2Pt7Rh2 structure, as listed in Alexandria via LeMat-Bulk.

Output
energy of formation = 0.477 eV per atom
mass density = 14.5 g/cm³
energy above the lowest structure with this stoichiometry = 437 meV per atom
electronic total energy = -6.5888 eV per atom

Geometry as POSCAR:
```
Tc2Pt7Rh2
1.0
3.582 -4.831 0.000
3.582 4.831 0.000
-1.627 0.000 5.831
Tc Pt Rh
2 7 2
Direct
0.155 0.155 0.104 Tc
0.845 0.845 0.896 Tc
0.097 0.578 0.822 Pt
0.155 0.155 0.673 Pt
0.422 0.903 0.178 Pt
0.500 0.500 0.000 Pt
0.578 0.097 0.822 Pt
0.845 0.845 0.327 Pt
0.903 0.422 0.178 Pt
0.236 0.764 0.500 Rh
0.764 0.236 0.500 Rh
```

=====

First-principles (GGA-PBE) data for a geometry-optimized TcPtRh2 structure, as listed in Alexandria via LeMat-Bulk.

Output
energy of formation = -0.144 eV per atom
mass density = 14.2 g/cm³
energy above the lowest structure with this stoichiometry = 0 meV per atom
electronic total energy = -7.9218 eV per atom

Geometry as POSCAR:
```
TcPtRh2
1.0
2.726 0.000 0.000
0.000 2.726 0.000
0.000 0.000 7.845
Tc Pt Rh
1 1 2
Direct
0.000 0.000 0.000 Tc
0.000 0.000 0.500 Pt
0.500 0.500 0.238 Rh
0.500 0.500 0.762 Rh
```

=====

First-principles (GGA-PBE) data for a geometry-optimized Tc2PtRh structure, as listed in Alexandria via LeMat-Bulk.

Output
energy of formation = 0.132 eV per atom
mass density = 13.7 g/cm³
energy above the lowest structure with this stoichiometry = 299 meV per atom
electronic total energy = -8.3988 eV per atom

Geometry as POSCAR:
```
Tc2PtRh
1.0
3.281 0.000 0.000
0.000 3.281 0.000
0.000 0.000 5.561
Tc Pt Rh
2 1 1
Direct
0.000 0.000 0.000 Tc
0.500 0.500 0.236 Tc
0.000 0.000 0.498 Pt
0.500 0.500 0.751 Rh
```

=====

First-principles (GGA-PBE) data for a geometry-optimized Tc2PtRh structure, as listed in Alexandria via LeMat-Bulk.

Output
energy of formation = -0.103 eV per atom
mass density = 14.0 g/cm³
energy above the lowest structure with this stoichiometry = 64 meV per atom
electronic total energy = -8.6340 eV per atom

Geometry as POSCAR:
```
Tc2PtRh
1.0
2.708 0.000 0.000
0.000 3.987 0.000
0.000 0.000 5.423
Tc Pt Rh
2 1 1
Direct
0.000 0.000 0.234 Tc
0.000 0.000 0.766 Tc
0.500 0.500 0.500 Pt
0.500 0.500 0.000 Rh
```

=====

First-principles (GGA-PBE) data for a geometry-optimized TcPt2Rh structure, as listed in Alexandria via LeMat-Bulk.

Output
energy of formation = -0.051 eV per atom
mass density = 16.4 g/cm³
energy above the lowest structure with this stoichiometry = 117 meV per atom
electronic total energy = -7.5011 eV per atom

Geometry as POSCAR:
```
TcPt2Rh
1.0
2.766 0.000 0.000
-1.383 2.395 0.000
0.000 0.000 27.142
Tc Pt Rh
3 6 3
Direct
0.000 0.000 0.000 Tc
0.333 0.667 0.667 Tc
0.667 0.333 0.333 Tc
0.000 0.000 0.252 Pt
0.000 0.000 0.748 Pt
0.333 0.667 0.415 Pt
0.333 0.667 0.918 Pt
0.667 0.333 0.082 Pt
0.667 0.333 0.585 Pt
0.000 0.000 0.500 Rh
0.333 0.667 0.167 Rh
0.667 0.333 0.833 Rh
```

=====

First-principles (GGA-PBE) data for a geometry-optimized TcPt2Rh structure, as listed in Alexandria via LeMat-Bulk.

Output
energy of formation = -0.169 eV per atom
mass density = 16.4 g/cm³
energy above the lowest structure with this stoichiometry = 0 meV per atom
electronic total energy = -7.6184 eV per atom

Geometry as POSCAR:
```
TcPt2Rh
1.0
2.739 0.000 0.000
0.000 2.739 0.000
0.000 0.000 7.955
Tc Pt Rh
1 2 1
Direct
0.000 0.000 0.000 Tc
0.000 0.000 0.512 Pt
0.500 0.500 0.246 Pt
0.500 0.500 0.770 Rh
```